Entry from Alexandria via LeMat-Bulk: a relaxed structure of RbYP4O12 (GGA-PBEsol).

## Properties
* symmetry: P2_1/c

Cell lengths 10.2938, 8.8807, 12.7414 Å; angles 90.00, 124.39, 90.00 degrees
Closest atoms and distances in Å follow each position.
Fractional positions:
1 Rb 0.2379 0.0643 0.0422  7 O 2.88-3.20
2 Rb 0.2379 0.4357 0.5422  7 O 2.88-3.20
3 Rb 0.7621 0.5643 0.4578  7 O 2.88-3.20
4 Rb 0.7621 0.9357 0.9578  7 O 2.88-3.20
5 Y 0.3147 0.7272 0.8161  8 O 2.26-2.42
6 Y 0.3147 0.7728 0.3161  8 O 2.26-2.42
7 Y 0.6853 0.2272 0.6839  8 O 2.26-2.42
8 Y 0.6853 0.2728 0.1839  8 O 2.26-2.42
9 P 0.0244 0.0247 0.2780  4 O 1.49-1.62
10 P 0.0244 0.4753 0.7780  4 O 1.49-1.62
11 P 0.1989 0.6102 0.0235  4 O 1.49-1.62
12 P 0.1989 0.8898 0.5235  4 O 1.49-1.62
13 P 0.3257 0.1707 0.3663  4 O 1.49-1.62
14 P 0.3257 0.3293 0.8663  4 O 1.49-1.62
15 P 0.3901 0.0922 0.7422  4 O 1.49-1.62
16 P 0.3901 0.4078 0.2422  4 O 1.49-1.62
17 P 0.6099 0.5922 0.7578  4 O 1.49-1.62
18 P 0.6099 0.9078 0.2578  4 O 1.49-1.62
19 P 0.6743 0.6707 0.1337  4 O 1.49-1.62
20 P 0.6743 0.8293 0.6337  4 O 1.49-1.62
21 P 0.8011 0.1102 0.4765  4 O 1.49-1.62
22 P 0.8011 0.3898 0.9765  4 O 1.49-1.62
23 P 0.9756 0.5247 0.2220  4 O 1.49-1.62
24 P 0.9756 0.9753 0.7220  4 O 1.49-1.62
25 O 0.0366 0.5483 0.8997  2 P 1.61-1.62
26 O 0.0366 0.9517 0.3997  2 P 1.61-1.62
27 O 0.0716 0.5865 0.7164  1 P 1.50
28 O 0.0716 0.9135 0.2164  1 P 1.50
29 O 0.1353 0.5938 0.3039  1 P 1.49
30 O 0.1353 0.9062 0.8039  1 P 1.49
31 O 0.1545 0.1574 0.3427  2 P 1.62
32 O 0.1545 0.3426 0.8427  2 P 1.62
33 O 0.1637 0.7126 0.0978  1 P 1.50
34 O 0.1637 0.7874 0.5978  1 P 1.50
35 O 0.2681 0.0486 0.5960  2 P 1.60-1.62
36 O 0.2681 0.4514 0.0960  2 P 1.60-1.62
37 O 0.2794 0.2092 0.7548  2 P 1.62
38 O 0.2794 0.2908 0.2548  2 P 1.62
39 O 0.2986 0.6675 0.9811  1 P 1.49
40 O 0.2986 0.8325 0.4811  1 P 1.49
41 O 0.3695 0.0272 0.3322  1 P 1.50
42 O 0.3695 0.4728 0.8322  1 P 1.50
43 O 0.4250 0.5422 0.3252  1 P 1.50
44 O 0.4250 0.9578 0.8252  1 P 1.50
45 O 0.4305 0.2420 0.4940  1 P 1.49
46 O 0.4305 0.2580 0.9940  1 P 1.49
47 O 0.4750 0.6776 0.7419  1 P 1.49
48 O 0.4750 0.8224 0.2419  1 P 1.49
49 O 0.5250 0.1776 0.7581  1 P 1.49
50 O 0.5250 0.3224 0.2581  1 P 1.49
51 O 0.5695 0.7420 0.0060  1 P 1.49
52 O 0.5695 0.7580 0.5060  1 P 1.49
53 O 0.5750 0.0422 0.1748  1 P 1.50
54 O 0.5750 0.4578 0.6748  1 P 1.50
55 O 0.6305 0.5272 0.1678  1 P 1.50
56 O 0.6305 0.9728 0.6678  1 P 1.50
57 O 0.7014 0.1675 0.5189  1 P 1.49
58 O 0.7014 0.3325 0.0189  1 P 1.49
59 O 0.7206 0.7092 0.7452  2 P 1.62
60 O 0.7206 0.7908 0.2452  2 P 1.62
61 O 0.7319 0.5486 0.9040  2 P 1.60-1.62
62 O 0.7319 0.9514 0.4040  2 P 1.60-1.62
63 O 0.8363 0.2126 0.4022  1 P 1.50
64 O 0.8363 0.2874 0.9022  1 P 1.50
65 O 0.8455 0.6574 0.1573  2 P 1.62
66 O 0.8455 0.8426 0.6573  2 P 1.62
67 O 0.8647 0.0938 0.1961  1 P 1.49
68 O 0.8647 0.4062 0.6961  1 P 1.49
69 O 0.9284 0.0865 0.7836  1 P 1.50
70 O 0.9284 0.4135 0.2836  1 P 1.50
71 O 0.9634 0.0483 0.6003  2 P 1.61-1.62
72 O 0.9634 0.4517 0.1003  2 P 1.61-1.62


Entry from Alexandria via LeMat-Bulk: a relaxed structure of Rb2Y2P3O12 (GGA-PBEsol).

## Properties
* symmetry: P2_13

Cell lengths 10.6607, 10.6607, 10.6607 Å; angles 90.00, 90.00, 90.00 degrees
Closest atoms and distances in Å follow each position.
Fractional positions:
1 Rb 0.0490 0.0490 0.0490  6 O 3.01-3.24
2 Rb 0.1823 0.3177 0.6823  12 O 3.06-3.43
3 Rb 0.3177 0.6823 0.1823  12 O 3.06-3.43
4 Rb 0.4510 0.9510 0.5490  6 O 3.01-3.24
5 Rb 0.5490 0.4510 0.9510  6 O 3.01-3.24
6 Rb 0.6823 0.1823 0.3177  12 O 3.06-3.43
7 Rb 0.8177 0.8177 0.8177  12 O 3.06-3.43
8 Rb 0.9510 0.5490 0.4510  6 O 3.01-3.24
9 Y 0.1017 0.8983 0.3983  6 O 2.21-2.24
10 Y 0.1656 0.6656 0.8344  6 O 2.22
11 Y 0.3344 0.3344 0.3344  6 O 2.22
12 Y 0.3983 0.1017 0.8983  6 O 2.21-2.24
13 Y 0.6017 0.6017 0.6017  6 O 2.21-2.24
14 Y 0.6656 0.8344 0.1656  6 O 2.22
15 Y 0.8344 0.1656 0.6656  6 O 2.22
16 Y 0.8983 0.3983 0.1017  6 O 2.21-2.24
17 P 0.0169 0.2162 0.3746  4 O 1.54
18 P 0.1254 0.9831 0.7162  4 O 1.54
19 P 0.2162 0.3746 0.0169  4 O 1.54
20 P 0.2838 0.6254 0.5169  4 O 1.54
21 P 0.3746 0.0169 0.2162  4 O 1.54
22 P 0.4831 0.7838 0.8746  4 O 1.54
23 P 0.5169 0.2838 0.6254  4 O 1.54
24 P 0.6254 0.5169 0.2838  4 O 1.54
25 P 0.7162 0.1254 0.9831  4 O 1.54
26 P 0.7838 0.8746 0.4831  4 O 1.54
27 P 0.8746 0.4831 0.7838  4 O 1.54
28 P 0.9831 0.7162 0.1254  4 O 1.54
29 O 0.0048 0.0625 0.7251  1 P 1.54
30 O 0.0211 0.0792 0.3279  1 P 1.54
31 O 0.0468 0.8003 0.2243  1 P 1.54
32 O 0.0625 0.7251 0.0048  1 P 1.54
33 O 0.0792 0.3279 0.0211  1 P 1.54
34 O 0.0982 0.8494 0.7634  1 P 1.54
35 O 0.1506 0.2634 0.4018  1 P 1.54
36 O 0.1721 0.9789 0.5792  1 P 1.54
37 O 0.1997 0.7243 0.4532  1 P 1.54
38 O 0.2243 0.0468 0.8003  1 P 1.54
39 O 0.2251 0.4952 0.9375  1 P 1.54
40 O 0.2366 0.5982 0.6506  1 P 1.54
41 O 0.2634 0.4018 0.1506  1 P 1.54
42 O 0.2749 0.5048 0.4375  1 P 1.54
43 O 0.2757 0.9532 0.3003  1 P 1.54
44 O 0.3003 0.2757 0.9532  1 P 1.54
45 O 0.3279 0.0211 0.0792  1 P 1.54
46 O 0.3494 0.7366 0.9018  1 P 1.54
47 O 0.4018 0.1506 0.2634  1 P 1.54
48 O 0.4208 0.6721 0.5211  1 P 1.54
49 O 0.4375 0.2749 0.5048  1 P 1.54
50 O 0.4532 0.1997 0.7243  1 P 1.54
51 O 0.4789 0.9208 0.8279  1 P 1.54
52 O 0.4952 0.9375 0.2251  1 P 1.54
53 O 0.5048 0.4375 0.2749  1 P 1.54
54 O 0.5211 0.4208 0.6721  1 P 1.54
55 O 0.5468 0.6997 0.7757  1 P 1.54
56 O 0.5625 0.7749 0.9952  1 P 1.54
57 O 0.5792 0.1721 0.9789  1 P 1.54
58 O 0.5982 0.6506 0.2366  1 P 1.54
59 O 0.6506 0.2366 0.5982  1 P 1.54
60 O 0.6721 0.5211 0.4208  1 P 1.54
61 O 0.6997 0.7757 0.5468  1 P 1.54
62 O 0.7243 0.4532 0.1997  1 P 1.54
63 O 0.7251 0.0048 0.0625  1 P 1.54
64 O 0.7366 0.9018 0.3494  1 P 1.54
65 O 0.7634 0.0982 0.8494  1 P 1.54
66 O 0.7749 0.9952 0.5625  1 P 1.54
67 O 0.7757 0.5468 0.6997  1 P 1.54
68 O 0.8003 0.2243 0.0468  1 P 1.54
69 O 0.8279 0.4789 0.9208  1 P 1.54
70 O 0.8494 0.7634 0.0982  1 P 1.54
71 O 0.9018 0.3494 0.7366  1 P 1.54
72 O 0.9208 0.8279 0.4789  1 P 1.54
73 O 0.9375 0.2251 0.4952  1 P 1.54
74 O 0.9532 0.3003 0.2757  1 P 1.54
75 O 0.9789 0.5792 0.1721  1 P 1.54
76 O 0.9952 0.5625 0.7749  1 P 1.54


For each record above, in turn, the calculated DFT total energy values are -7.708; -7.733 eV per atom.
For each record above, in turn, the calculated formation energy without anion corrections values are -2485; -2677 meV/atom.